Li4MnCr5O12 after structural relaxation. Source: Alexandria, functional GGA+U.

Unit cell a=5.072 b=5.072 c=10.171 alpha=86.18 beta=86.18 gamma=119.96
Fractional positions:
Li: 0.929 0.256 0.244
Li: 0.744 0.071 0.756
Li: 0.256 0.929 0.244
Li: 0.071 0.744 0.756
Mn: 0.000 0.000 0.000
Cr: 0.832 0.168 0.500
Cr: 0.336 0.664 0.000
Cr: 0.664 0.336 0.000
Cr: 0.168 0.832 0.500
Cr: 0.500 0.500 0.500
O: 0.020 0.350 0.896
O: 0.650 0.980 0.104
O: 0.814 0.471 0.607
O: 0.471 0.814 0.607
O: 0.529 0.186 0.393
O: 0.873 0.873 0.395
O: 0.186 0.529 0.393
O: 0.350 0.020 0.896
O: 0.715 0.715 0.894
O: 0.980 0.650 0.104
O: 0.285 0.285 0.106
O: 0.127 0.127 0.605

Summary:
final energy = -6.95 eV per atom
DOS at the Fermi energy = 1.794 states/eV/cell